Entry 1:
CuAu3 at its PBEsol-relaxed geometry, computed with meta-GGA SCAN.

abc: 4.4718 4.4718 4.4718
angles: 60.00 60.00 60.00
Closest atoms and distances in Å follow each position.
Atoms (fractional coordinates):
Cu1 0.0000 0.0000 0.0000  8 Au 2.74
Au1 0.2500 0.2500 0.2500  4 Au 2.74, 4 Cu 2.74
Au2 0.5000 0.5000 0.5000  8 Au 2.74
Au3 0.7500 0.7500 0.7500  4 Au 2.74, 4 Cu 2.74

Summary:
As for the space-group type: Fm-3m, No. 225. As for the energy: -55.6658 eV per atom.

---

Entry 2:
CuAu3 at its PBEsol-relaxed geometry, computed with meta-GGA SCAN.

abc: 4.7268 4.7268 4.7268
angles: 90.00 90.00 90.00
Closest atoms and distances in Å follow each position.
Atoms (fractional coordinates):
Cu1 0.0000 0.0000 0.0000  6 Au 2.36
Au1 0.0000 0.0000 0.5000  2 Cu 2.36
Au2 0.0000 0.5000 0.0000  2 Cu 2.36
Au3 0.5000 0.0000 0.0000  2 Cu 2.36

Summary:
As for the space-group type: Pm-3m, No. 221. As for the energy: -54.7660 eV per atom.

---

For the records above, the corresponding total magnetic moment values read 0.000; 0.000 Bohr magnetons per cell.